DFT (PBEsol) results for an optimized crystal structure of SbI2O2.

E_tot (eV for the cell shown): -19.78
Formation energy without anion corrections (eV per formula unit): -1.19
Total moment (μB per cell): 0.00

Unit cell a=4.189 b=4.189 c=6.440 alpha=90.00 beta=90.00 gamma=90.00
Fractional positions:
I (0.500, 0.500, 0.500)
I (0.000, 0.000, 0.500)
Sb (0.000, 0.000, 0.000)
O (0.000, 0.500, 0.000)
O (0.500, 0.000, 0.000)

=====

DFT (PBEsol) results for an optimized crystal structure of ScSbI2O.

E_tot (eV for the cell shown): -20.96
Formation energy without anion corrections (eV per formula unit): -1.02
Total moment (μB per cell): 1.57

Unit cell a=4.030 b=6.036 c=6.036 alpha=90.00 beta=90.00 gamma=90.00
Site moments in Bohr magnetons follow the coordinates.
Fractional positions:
I (0.000, 0.000, 0.500)  -0.01
I (0.000, 0.500, 0.000)  -0.01
Sb (0.000, 0.000, 0.000)  0.01
Sc (0.500, 0.500, 0.500)  1.00
O (0.500, 0.000, 0.000)  0.01